1.
The following is a DFT calculation (PBE-GGA) of a relaxed Ga2GeRh5 crystal.

Cell: 4.125 5.376 10.256 Å, 90.00 90.00 90.00°
Fractional coordinates of all 16 atoms:
Ge 0.000 0.000 0.500
Ge 0.000 0.500 0.000
Rh 0.500 0.166 0.608
Rh 0.500 0.334 0.108
Rh 0.000 0.139 0.272
Rh 0.000 0.861 0.728
Rh 0.500 0.834 0.392
Rh 0.000 0.639 0.228
Rh 0.000 0.000 0.000
Rh 0.000 0.500 0.500
Rh 0.500 0.666 0.892
Rh 0.000 0.361 0.772
Ga 0.500 0.369 0.358
Ga 0.500 0.631 0.642
Ga 0.500 0.869 0.142
Ga 0.500 0.131 0.858

Calculated values
As for the crystal system: orthorhombic. Its formation energy from the elements is -0.54 eV/atom. Its total energy is -6.472 eV per atom. The theoretical density is 10.61 g/cm3. As for the density of states at the Fermi level: 0.587 states/eV per atom.



2.
The following is a DFT calculation (PBE-GGA) of a relaxed Ga3GeRh crystal.

Cell: 4.993 4.993 9.009 Å, 106.09 106.09 90.00°
Fractional coordinates of all 10 atoms:
Ga 0.126 0.375 0.251
Ga 0.625 0.874 0.749
Ga 0.305 0.305 0.611
Ga 0.124 0.874 0.749
Ga 0.695 0.695 0.389
Ga 0.126 0.876 0.251
Rh 0.000 0.000 0.000
Rh 0.250 0.750 0.500
Ge 0.940 0.440 0.880
Ge 0.560 0.060 0.120

Calculated values
The energy above the most stable polymorph in this dataset is 0 meV/atom. As for the crystal system: tetragonal. Its formation energy from the elements is -0.04 eV/atom. Its total energy is -4.254 eV per atom. The theoretical density is 6.18 g/cm3. As for the density of states at the Fermi level: 0.532 states/eV per atom.



3.
The following is a DFT calculation (PBE-GGA) of a relaxed Ga5GeRh6 crystal.

Cell: 4.212 6.361 6.672 Å, 90.00 71.60 90.00°
Fractional coordinates of all 12 atoms:
Rh 0.500 0.246 0.000
Rh 0.166 0.250 0.669
Rh 0.834 0.750 0.331
Rh 0.166 0.750 0.669
Rh 0.500 0.754 0.000
Rh 0.834 0.250 0.331
Ga 0.331 0.000 0.339
Ga 0.669 0.000 0.661
Ga 0.666 0.500 0.667
Ga 0.334 0.500 0.333
Ga 0.000 0.500 0.000
Ge 0.000 0.000 0.000

Calculated values
As for the crystal system: orthorhombic. Its formation energy from the elements is -0.63 eV/atom. Its total energy is -5.947 eV per atom. The theoretical density is 10.17 g/cm3. As for the density of states at the Fermi level: 0.337 states/eV per atom.



4.
The following is a DFT calculation (PBE-GGA) of a relaxed Ga2GeRh8 crystal.

Cell: 4.111 6.643 7.049 Å, 118.11 106.95 90.00°
Fractional coordinates of all 11 atoms:
Rh 0.000 0.305 0.000
Rh 0.855 0.855 0.710
Rh 0.654 0.434 0.308
Rh 0.654 0.874 0.308
Rh 0.145 0.145 0.290
Rh 0.346 0.126 0.692
Rh 0.346 0.566 0.692
Rh 0.000 0.695 0.000
Ge 0.500 0.000 0.000
Ga 0.197 0.697 0.394
Ga 0.803 0.303 0.606

Calculated values
The energy above the most stable polymorph in this dataset is 0 meV/atom. As for the crystal system: orthorhombic. Its formation energy from the elements is -0.25 eV/atom. Its total energy is -6.562 eV per atom. The theoretical density is 10.73 g/cm3. As for the density of states at the Fermi level: 0.957 states/eV per atom.



5.
The following is a DFT calculation (PBE-GGA) of a relaxed Ga2GeRh4 crystal.

Cell: 5.150 5.150 5.150 Å, 109.61 109.40 109.40°
Fractional coordinates of all 7 atoms:
Rh 0.500 0.500 0.500
Rh 0.500 0.000 0.000
Rh 0.000 0.500 0.000
Rh 0.000 0.000 0.500
Ga 0.500 0.000 0.500
Ga 0.500 0.500 0.000
Ge 0.000 0.000 0.000

Calculated values
As for the crystal system: tetragonal. Its formation energy from the elements is -0.48 eV/atom. Its total energy is -6.201 eV per atom. The theoretical density is 9.85 g/cm3. As for the density of states at the Fermi level: 0.602 states/eV per atom.



6.
The following is a DFT calculation (PBE-GGA) of a relaxed GaGeRh2 crystal.

Cell: 3.793 3.793 5.619 Å, 70.27 70.27 60.00°
Fractional coordinates of all 4 atoms:
Rh 0.073 0.073 0.782
Rh 0.260 0.260 0.219
Ga 0.497 0.497 0.509
Ge 0.670 0.670 0.990

Calculated values
As for the crystal system: trigonal. Its formation energy from the elements is -0.44 eV/atom. Its total energy is -6.029 eV per atom. The theoretical density is 8.97 g/cm3. As for the density of states at the Fermi level: 0.345 states/eV per atom.



7.
The following is a DFT calculation (PBE-GGA) of a relaxed Sc2GaGe2Rh5 crystal.

Cell: 3.518 9.505 9.505 Å, 90.00 90.00 90.00°
Fractional coordinates of all 20 atoms:
Rh 0.500 0.500 0.000
Rh 0.500 0.069 0.798
Rh 0.500 0.000 0.500
Rh 0.500 0.202 0.069
Rh 0.500 0.702 0.431
Rh 0.500 0.931 0.202
Rh 0.500 0.431 0.298
Rh 0.500 0.569 0.702
Rh 0.500 0.798 0.931
Rh 0.500 0.298 0.569
Sc 0.000 0.672 0.172
Sc 0.000 0.172 0.328
Sc 0.000 0.328 0.828
Sc 0.000 0.828 0.672
Ga 0.000 0.500 0.500
Ga 0.000 0.000 0.000
Ge 0.000 0.372 0.128
Ge 0.000 0.872 0.372
Ge 0.000 0.628 0.872
Ge 0.000 0.128 0.628

Calculated values
As for the crystal system: tetragonal. Its formation energy from the elements is -0.79 eV/atom. Its total energy is -6.962 eV per atom. The theoretical density is 8.56 g/cm3. As for the density of states at the Fermi level: 0.415 states/eV per atom.



8.
The following is a DFT calculation (PBE-GGA) of a relaxed GaSi2Ge2Rh5 crystal.

Cell: 2.838 10.282 10.282 Å, 90.00 90.00 90.00°
Fractional coordinates of all 20 atoms:
Si 0.000 0.645 0.855
Si 0.000 0.145 0.645
Si 0.000 0.355 0.145
Si 0.000 0.855 0.355
Rh 0.500 0.839 0.860
Rh 0.500 0.860 0.161
Rh 0.500 0.000 0.500
Rh 0.500 0.339 0.640
Rh 0.500 0.500 0.000
Rh 0.500 0.661 0.360
Rh 0.500 0.640 0.661
Rh 0.500 0.360 0.339
Rh 0.500 0.161 0.140
Rh 0.500 0.140 0.839
Ge 0.000 0.347 0.847
Ge 0.000 0.847 0.653
Ge 0.000 0.653 0.153
Ge 0.000 0.153 0.347
Ga 0.000 0.000 0.000
Ga 0.000 0.500 0.500

Calculated values
For the energy relative to the elements, uncorrected, the calculation gives -0.47 eV per atom. As for the crystal system: tetragonal. Its total energy is -6.455 eV per atom. The theoretical density is 8.70 g/cm3. As for the density of states at the Fermi level: 0.395 states/eV per atom.



9.
The following is a DFT calculation (PBE-GGA) of a relaxed Ga2Si2GeRh5 crystal.

Cell: 2.848 10.186 10.186 Å, 90.00 90.00 90.00°
Fractional coordinates of all 20 atoms:
Rh 0.500 0.837 0.865
Rh 0.500 0.337 0.635
Rh 0.500 0.135 0.837
Rh 0.500 0.500 0.000
Rh 0.500 0.635 0.663
Rh 0.500 0.000 0.500
Rh 0.500 0.865 0.163
Rh 0.500 0.163 0.135
Rh 0.500 0.365 0.337
Rh 0.500 0.663 0.365
Ga 0.000 0.347 0.847
Ga 0.000 0.847 0.653
Ga 0.000 0.153 0.347
Ga 0.000 0.653 0.153
Si 0.000 0.643 0.857
Si 0.000 0.357 0.143
Si 0.000 0.143 0.643
Si 0.000 0.857 0.357
Ge 0.000 0.500 0.500
Ge 0.000 0.000 0.000

Calculated values
For the energy relative to the elements, uncorrected, the calculation gives -0.58 eV per atom. As for the crystal system: tetragonal. Its total energy is -6.403 eV per atom. The theoretical density is 8.80 g/cm3. As for the density of states at the Fermi level: 0.302 states/eV per atom.



10.
The following is a DFT calculation (PBE-GGA) of a relaxed GaSi2GeRh crystal.

Cell: 4.618 4.885 4.618 Å, 90.00 90.00 90.00°
Fractional coordinates of all 5 atoms:
Ge 0.000 0.500 0.000
Ga 0.500 0.500 0.500
Si 0.500 0.000 0.000
Si 0.000 0.000 0.500
Rh 0.000 0.000 0.000

Calculated values
For the energy relative to the elements, uncorrected, the calculation gives 0.31 eV per atom. As for the crystal system: tetragonal. Its total energy is -4.855 eV per atom. The theoretical density is 4.80 g/cm3. As for the density of states at the Fermi level: 0.594 states/eV per atom.



11.
The following is a DFT calculation (PBE-GGA) of a relaxed Sm2GaGe4Rh3 crystal.

Cell: 4.250 4.250 10.309 Å, 90.00 90.00 90.00°
Fractional coordinates of all 10 atoms:
Ge 0.500 0.000 0.644
Ge 0.500 0.500 0.000
Ge 0.000 0.500 0.356
Ge 0.000 0.000 0.000
Ga 0.500 0.500 0.500
Rh 0.000 0.500 0.122
Rh 0.000 0.000 0.500
Rh 0.500 0.000 0.878
Sm 0.500 0.000 0.242
Sm 0.000 0.500 0.758

Calculated values
As for the crystal system: tetragonal. Its formation energy from the elements is -0.75 eV/atom. Its total energy is -6.053 eV per atom. The theoretical density is 8.65 g/cm3. As for the density of states at the Fermi level: 0.508 states/eV per atom.



12.
The following is a DFT calculation (PBE-GGA) of a relaxed Ga2Sn2GeRh5 crystal.

Cell: 2.972 10.520 10.520 Å, 90.00 90.00 90.00°
Fractional coordinates of all 20 atoms:
Rh 0.500 0.656 0.370
Rh 0.500 0.344 0.630
Rh 0.500 0.156 0.130
Rh 0.500 0.500 0.000
Rh 0.500 0.130 0.844
Rh 0.500 0.870 0.156
Rh 0.500 0.000 0.500
Rh 0.500 0.844 0.870
Rh 0.500 0.630 0.656
Rh 0.500 0.370 0.344
Sn 0.000 0.346 0.846
Sn 0.000 0.154 0.346
Sn 0.000 0.846 0.654
Sn 0.000 0.654 0.154
Ga 0.000 0.644 0.856
Ga 0.000 0.144 0.644
Ga 0.000 0.356 0.144
Ga 0.000 0.856 0.356
Ge 0.000 0.500 0.500
Ge 0.000 0.000 0.000

Calculated values
As for the crystal system: tetragonal. Its formation energy from the elements is -0.42 eV/atom. Its total energy is -5.967 eV per atom. The theoretical density is 9.73 g/cm3. As for the density of states at the Fermi level: 0.348 states/eV per atom.